First-principles (GGA-PBEsol) data for crystalline MgNb2Rh at its relaxed geometry, as listed in Alexandria via LeMat-Bulk.

Unit cell a=6.435 b=6.435 c=6.435 alpha=90.00 beta=90.00 gamma=90.00
Space group Fm-3m (No. 225)
Symmetry-distinct sites (fractional):
Mg1 0.000 0.000 0.000 [4 per cell]
Nb1 0.250 0.250 0.250 [8 per cell]
Rh1 0.000 0.000 0.500 [4 per cell]

Output
total magnetization: 0.0 μB/f.u.
calculated volume: 16.657 A^3/atom
DFT formation energy: 0.2347 eV per atom

First-principles (GGA-PBEsol) data for crystalline MgScNbRh2 at its relaxed geometry, as listed in Alexandria via LeMat-Bulk.

Unit cell a=4.715 b=4.715 c=4.878 alpha=90.00 beta=90.00 gamma=90.00
Space group P4/mmm (No. 123)
Symmetry-distinct sites (fractional):
Mg1 0.000 0.000 0.000 [1 per cell]
Sc1 0.500 0.500 0.000 [1 per cell]
Nb1 0.500 0.500 0.500 [1 per cell]
Rh1 0.000 0.500 0.500 [2 per cell]

Output
total magnetization: 0.0 μB/f.u.
calculated volume: 21.689 A^3/atom
DFT formation energy: 0.6531 eV per atom

First-principles (GGA-PBEsol) data for crystalline Mg2NbTeRu at its relaxed geometry, as listed in Alexandria via LeMat-Bulk.

Unit cell a=4.975 b=4.975 c=4.659 alpha=90.00 beta=90.00 gamma=90.00
Space group P4/mmm (No. 123)
Symmetry-distinct sites (fractional):
Mg1 0.000 0.500 0.000 [2 per cell]
Nb1 0.000 0.000 0.500 [1 per cell]
Te1 0.500 0.500 0.500 [1 per cell]
Ru1 0.000 0.000 0.000 [1 per cell]

Output
calculated total energy: -25.84 eV per formula unit
total magnetization: 0.3 μB/f.u.
calculated volume: 23.064 A^3/atom

First-principles (GGA-PBEsol) data for crystalline MgNb3S at its relaxed geometry, as listed in Alexandria via LeMat-Bulk.

Unit cell a=4.589 b=4.589 c=4.589 alpha=90.00 beta=90.00 gamma=90.00
Space group Pm-3m (No. 221)
Symmetry-distinct sites (fractional):
Mg1 0.000 0.000 0.000 [1 per cell]
Nb1 0.000 0.500 0.500 [3 per cell]
S1 0.500 0.500 0.500 [1 per cell]

Output
calculated total energy: -38.17 eV per formula unit
total magnetization: 0.0 μB/f.u.
calculated volume: 19.322 A^3/atom

First-principles (GGA-PBEsol) data for crystalline MgNbTlS2 at its relaxed geometry, as listed in Alexandria via LeMat-Bulk.

Unit cell a=4.622 b=4.622 c=5.259 alpha=90.00 beta=90.00 gamma=90.00
Space group P4/mmm (No. 123)
Symmetry-distinct sites (fractional):
Mg1 0.000 0.000 0.000 [1 per cell]
Nb1 0.000 0.000 0.500 [1 per cell]
Tl1 0.500 0.500 0.500 [1 per cell]
S1 0.000 0.500 0.000 [2 per cell]

Output
calculated total energy: -20.44 eV per formula unit
total magnetization: 2.4 μB/f.u.
calculated volume: 22.475 A^3/atom

First-principles (GGA-PBEsol) data for crystalline MgNb3Sb at its relaxed geometry, as listed in Alexandria via LeMat-Bulk.

Unit cell a=5.023 b=5.023 c=5.023 alpha=90.00 beta=90.00 gamma=90.00
Space group Pm-3m (No. 221)
Symmetry-distinct sites (fractional):
Mg1 0.000 0.000 0.000 [1 per cell]
Nb1 0.000 0.500 0.500 [3 per cell]
Sb1 0.500 0.500 0.500 [1 per cell]

Output
calculated total energy: -31.89 eV per formula unit
total magnetization: 0.0 μB/f.u.
calculated volume: 25.349 A^3/atom

First-principles (GGA-PBEsol) data for crystalline MgNbSb2W at its relaxed geometry, as listed in Alexandria via LeMat-Bulk.

Unit cell a=5.124 b=5.124 c=5.034 alpha=90.00 beta=90.00 gamma=90.00
Space group P4/mmm (No. 123)
Symmetry-distinct sites (fractional):
Mg1 0.000 0.000 0.000 [1 per cell]
Nb1 0.500 0.500 0.000 [1 per cell]
Sb1 0.000 0.500 0.500 [2 per cell]
W1 0.000 0.000 0.500 [1 per cell]

Output
calculated total energy: -29.11 eV per formula unit
total magnetization: 3.7 μB/f.u.
calculated volume: 26.435 A^3/atom

First-principles (GGA-PBEsol) data for crystalline MgScNb3 at its relaxed geometry, as listed in Alexandria via LeMat-Bulk.

Unit cell a=4.758 b=4.758 c=4.758 alpha=90.00 beta=90.00 gamma=90.00
Space group Pm-3m (No. 221)
Symmetry-distinct sites (fractional):
Mg1 0.000 0.000 0.000 [1 per cell]
Sc1 0.500 0.500 0.500 [1 per cell]
Nb1 0.000 0.500 0.500 [3 per cell]

Output
total magnetization: 0.0 μB/f.u.
calculated volume: 21.542 A^3/atom
DFT formation energy: 1.4816 eV per atom

First-principles (GGA-PBEsol) data for crystalline MgNbSe3 at its relaxed geometry, as listed in Alexandria via LeMat-Bulk.

Unit cell a=5.010 b=5.010 c=5.010 alpha=90.00 beta=90.00 gamma=90.00
Space group Pm-3m (No. 221)
Symmetry-distinct sites (fractional):
Mg1 0.000 0.000 0.000 [1 per cell]
Nb1 0.500 0.500 0.500 [1 per cell]
Se1 0.000 0.500 0.500 [3 per cell]

Output
calculated total energy: -25.55 eV per formula unit
total magnetization: 0.0 μB/f.u.
calculated volume: 25.148 A^3/atom

First-principles (GGA-PBEsol) data for crystalline MgNb2Se at its relaxed geometry, as listed in Alexandria via LeMat-Bulk.

Unit cell a=6.505 b=6.505 c=6.505 alpha=90.00 beta=90.00 gamma=90.00
Space group Fm-3m (No. 225)
Symmetry-distinct sites (fractional):
Mg1 0.000 0.000 0.000 [4 per cell]
Nb1 0.250 0.250 0.250 [8 per cell]
Se1 0.000 0.000 0.500 [4 per cell]

Output
calculated total energy: -25.93 eV per formula unit
total magnetization: 0.0 μB/f.u.
calculated volume: 17.207 A^3/atom

First-principles (GGA-PBEsol) data for crystalline Mg2NbSi2 at its relaxed geometry, as listed in Alexandria via LeMat-Bulk.

Unit cell a=6.724 b=6.724 c=3.872 alpha=90.00 beta=90.00 gamma=90.00
Space group P4/mbm (No. 127)
Symmetry-distinct sites (fractional):
Mg1 0.176 0.324 0.000 [4 per cell]
Nb1 0.000 0.000 0.500 [2 per cell]
Si1 0.129 0.629 0.500 [4 per cell]

Output
calculated total energy: -26.10 eV per formula unit
total magnetization: 0.0 μB/f.u.
calculated volume: 17.509 A^3/atom

First-principles (GGA-PBEsol) data for crystalline MgNbSi2Te at its relaxed geometry, as listed in Alexandria via LeMat-Bulk.

Unit cell a=4.895 b=4.895 c=5.319 alpha=90.00 beta=90.00 gamma=90.00
Space group P4/mmm (No. 123)
Symmetry-distinct sites (fractional):
Mg1 0.000 0.000 0.000 [1 per cell]
Nb1 0.500 0.500 0.500 [1 per cell]
Si1 0.000 0.500 0.500 [2 per cell]
Te1 0.500 0.500 0.000 [1 per cell]

Output
calculated total energy: -25.27 eV per formula unit
total magnetization: 0.0 μB/f.u.
calculated volume: 25.495 A^3/atom